1.
Entry from Alexandria: K2InAs at its PBEsol-relaxed geometry (meta-GGA SCAN).

a = 4.113 Å, b = 5.589 Å, c = 6.668 Å
α = 114.78°, β = 107.96°, γ = 90.00°
Positions (direct):
As1 0.538 0.538 0.076
K1 0.796 0.296 0.592
In1 0.189 0.689 0.377
K2 0.977 0.977 0.955

Space group: Imm2 (44)
D(E_F), states/eV/cell: 0.81
DFT formation energy, kJ/mol of atoms: -40.9
E above lowest polymorph, eV per atom: 0.012



2.
Entry from Alexandria: K2InAs at its PBEsol-relaxed geometry (meta-GGA SCAN).

a = 5.175 Å, b = 5.717 Å, c = 5.175 Å
α = 63.09°, β = 90.00°, γ = 116.91°
Positions (direct):
K1 0.000 0.000 0.000
K2 0.250 0.500 0.250
As1 0.500 0.000 0.500
In1 0.750 0.500 0.750

Space group: I-4m2 (119)
D(E_F), states/eV/cell: 1.10
DFT formation energy, kJ/mol of atoms: -19.7
E above lowest polymorph, eV per atom: 0.231



3.
Entry from Alexandria: KIn2AsOs at its PBEsol-relaxed geometry (meta-GGA SCAN).

a = 4.653 Å, b = 5.438 Å, c = 5.438 Å
α = 90.00°, β = 90.00°, γ = 90.00°
Each line ends with the local moment (μB).
Positions (direct):
In1 0.000 0.000 0.500  0.02
In2 0.000 0.500 0.000  0.02
Os1 0.500 0.000 0.000  -0.82
As1 0.500 0.500 0.500  0.22
K1 0.000 0.000 0.000  -0.01

Space group: P4/mmm (123)
D(E_F), states/eV/cell: 3.93
DFT formation energy, kJ/mol of atoms: 223.1



4.
Entry from Alexandria: KIn2AsPt at its PBEsol-relaxed geometry (meta-GGA SCAN).

a = 4.981 Å, b = 5.585 Å, c = 5.585 Å
α = 90.00°, β = 90.00°, γ = 90.00°
Positions (direct):
As1 0.500 0.500 0.500
Pt1 0.500 0.000 0.000
In1 0.000 0.500 0.000
In2 0.000 0.000 0.500
K1 0.000 0.000 0.000

Space group: P4/mmm (123)
D(E_F), states/eV/cell: 4.06
DFT formation energy, kJ/mol of atoms: 141.8



5.
Entry from Alexandria: LaInAs2 at its PBEsol-relaxed geometry (meta-GGA SCAN).

a = 4.260 Å, b = 4.260 Å, c = 6.873 Å
α = 71.95°, β = 71.95°, γ = 60.00°
Positions (direct):
La1 0.000 0.000 0.000
In1 0.500 0.500 0.500
As1 0.244 0.244 0.268
As2 0.756 0.756 0.732

Space group: R-3m (166)
DFT formation energy, kJ/mol of atoms: -77.3



6.
Entry from Alexandria: LaInAs3 at its PBEsol-relaxed geometry (meta-GGA SCAN).

a = 5.561 Å, b = 5.561 Å, c = 5.561 Å
α = 90.00°, β = 90.00°, γ = 90.00°
Positions (direct):
In1 0.500 0.500 0.500
As1 0.500 0.000 0.000
La1 0.000 0.000 0.000
As2 0.000 0.000 0.500
As3 0.000 0.500 0.000

Space group: Pm-3m (221)
D(E_F), states/eV/cell: 5.51
DFT formation energy, kJ/mol of atoms: 47.5



7.
Entry from Alexandria: LiIn2As at its PBEsol-relaxed geometry (meta-GGA SCAN).

a = 3.819 Å, b = 4.722 Å, c = 6.020 Å
α = 109.32°, β = 90.00°, γ = 113.85°
Positions (direct):
In1 0.061 0.122 0.030
Li1 0.433 0.865 0.351
In2 0.271 0.542 0.738
As1 0.735 0.471 0.380

Space group: Cm (8)
D(E_F), states/eV/cell: 1.18
DFT formation energy, kJ/mol of atoms: -23.6



8.
Entry from Alexandria: LiIn2As at its PBEsol-relaxed geometry (meta-GGA SCAN).

a = 3.369 Å, b = 4.868 Å, c = 5.320 Å
α = 90.00°, β = 90.00°, γ = 91.60°
Positions (direct):
Li1 0.000 0.500 0.500
In1 0.738 0.753 0.000
In2 0.262 0.247 0.000
As1 0.500 0.000 0.500

Space group: P2/m (10)
D(E_F), states/eV/cell: 1.27
DFT formation energy, kJ/mol of atoms: -9.6



9.
Entry from Alexandria: LiIn2As at its PBEsol-relaxed geometry (meta-GGA SCAN).

a = 5.155 Å, b = 6.658 Å, c = 6.658 Å
α = 81.38°, β = 67.22°, γ = 67.22°
Positions (direct):
In1 0.375 0.930 0.570
As1 0.000 0.000 0.000
Li1 0.500 0.000 0.000
As2 0.750 0.500 0.500
In2 0.055 0.570 0.070
In3 0.695 0.430 0.930
Li2 0.250 0.500 0.500
In4 0.875 0.070 0.430

Space group: I-42d (122)
D(E_F), states/eV/cell: 0.39
DFT formation energy, kJ/mol of atoms: -28.8



10.
Entry from Alexandria: LiIn2As at its PBEsol-relaxed geometry (meta-GGA SCAN).

a = 2.973 Å, b = 4.159 Å, c = 7.100 Å
α = 90.00°, β = 101.33°, γ = 90.00°
Positions (direct):
As1 0.027 0.500 0.681
Li1 0.470 0.000 0.564
In1 0.172 0.000 0.981
In2 0.831 0.500 0.274

Space group: Pm (6)
D(E_F), states/eV/cell: 1.92
DFT formation energy, kJ/mol of atoms: -18.3



11.
Entry from Alexandria: LiIn2As2 at its PBEsol-relaxed geometry (meta-GGA SCAN).

a = 5.044 Å, b = 5.044 Å, c = 6.090 Å
α = 114.46°, β = 114.46°, γ = 90.00°
Positions (direct):
Li1 0.000 0.000 0.000
In1 0.361 0.361 0.721
In2 0.639 0.639 0.279
As1 0.750 0.250 0.500
As2 0.250 0.750 0.500

Space group: I4/mmm (139)
D(E_F), states/eV/cell: 2.12
DFT formation energy, kJ/mol of atoms: -5.5



12.
Entry from Alexandria: Li3InAs at its PBEsol-relaxed geometry (meta-GGA SCAN).

a = 4.774 Å, b = 4.774 Å, c = 4.774 Å
α = 90.00°, β = 90.00°, γ = 90.00°
Positions (direct):
As1 0.000 0.000 0.000
Li1 0.500 0.000 0.000
In1 0.500 0.500 0.500
Li2 0.000 0.500 0.000
Li3 0.000 0.000 0.500

Space group: Pm-3m (221)
D(E_F), states/eV/cell: 2.24
DFT formation energy, kJ/mol of atoms: -31.0